Entry 1:
This record from Alexandria describes a relaxed structure of KLi2U2S6. The functional is PBE-GGA.

space-group type = P-1
total energy = -6.07 eV per atom
N(E_F) = 11.477 states/eV/f.u.
formation energy (no corrections) = -1.316 eV/atom

Cell: 6.6365 6.9927 6.9935 Å, 60.02 89.99 89.86°
Element x y z (fractional)
K1 0.0000 0.0000 0.0000
Li1 0.5000 0.3340 0.3322
Li2 0.5000 0.6660 0.6678
U1 0.0000 0.3333 0.3333
U2 0.0000 0.6667 0.6667
S1 0.2381 0.3970 0.0003
S2 0.2379 0.6017 0.3979
S3 0.2380 0.9992 0.6027
S4 0.7620 0.0008 0.3973
S5 0.7621 0.3983 0.6021
S6 0.7619 0.6030 0.9997



Entry 2:
This record from Alexandria describes a relaxed structure of K3Li2US6. The functional is PBE-GGA.

space-group type = C2/m
total energy = -4.75 eV per atom
N(E_F) = 11.925 states/eV/f.u.
formation energy (no corrections) = -1.154 eV/atom

Cell: 6.8659 6.8659 7.6140 Å, 98.48 98.48 120.23°
Element x y z (fractional)
K1 0.0000 0.0000 0.0000
K2 0.3257 0.6743 0.0000
K3 0.6743 0.3257 0.0000
Li1 0.1674 0.8326 0.5000
Li2 0.8326 0.1674 0.5000
U1 0.5000 0.5000 0.5000
S1 0.1222 0.4334 0.3052
S2 0.2568 0.2568 0.6990
S3 0.4334 0.1222 0.3052
S4 0.5666 0.8778 0.6948
S5 0.7432 0.7432 0.3010
S6 0.8778 0.5666 0.6948



Entry 3:
This record from Alexandria describes a relaxed structure of KLiU2S5. The functional is PBE-GGA.

space-group type = I4/mcm
total energy = -6.55 eV per atom
N(E_F) = 8.018 states/eV/f.u.
formation energy (no corrections) = -1.412 eV/atom

Cell: 8.8457 8.8457 8.8457 Å, 129.57 129.57 74.09°
Element x y z (fractional)
K1 0.2500 0.2500 0.0000
K2 0.7500 0.7500 0.0000
Li1 0.2500 0.7500 0.5000
Li2 0.7500 0.2500 0.5000
U1 0.1622 0.6622 0.8244
U2 0.3378 0.1622 0.5000
U3 0.6622 0.8378 0.5000
U4 0.8378 0.3378 0.1756
S1 0.0000 0.0000 0.0000
S2 0.0240 0.2322 0.5000
S3 0.2322 0.7322 0.2082
S4 0.2678 0.4760 0.5000
S5 0.4760 0.9760 0.2082
S6 0.5000 0.5000 0.0000
S7 0.5240 0.0240 0.7918
S8 0.7322 0.5240 0.5000
S9 0.7678 0.2678 0.7918
S10 0.9760 0.7678 0.5000



Entry 4:
This record from Alexandria describes a relaxed structure of KLi3U2S6. The functional is PBE-GGA.

space-group type = C2/m
total energy = -5.86 eV per atom
N(E_F) = 10.716 states/eV/f.u.
formation energy (no corrections) = -1.346 eV/atom

Cell: 8.1970 8.1970 9.2209 Å, 99.39 99.39 28.08°
Element x y z (fractional)
K1 0.0000 0.0000 0.0000
Li1 0.0000 0.0000 0.5000
Li2 0.3492 0.3492 0.2776
Li3 0.6508 0.6508 0.7224
U1 0.3341 0.3341 0.6599
U2 0.6659 0.6659 0.3401
S1 0.1626 0.1626 0.5493
S2 0.1955 0.1955 0.1636
S3 0.4972 0.4972 0.7177
S4 0.5028 0.5028 0.2823
S5 0.8045 0.8045 0.8364
S6 0.8374 0.8374 0.4507



- Number 2 is which compound?
  K3Li2US6